! LiBe2Fe | Alexandria | PBE | relaxed; values from VASP
! Formation energy   218 meV per atom
! E   -4.2396 eV per atom
! Size of the total moment   1.49 μB per cell
! Density   3.52 Mg/m³
&SYSTEM
  ibrav = 0, nat = 4, ntyp = 3
/
ATOMIC_SPECIES
Fe 55.84 Fe.upf
Be 9.01 Be.upf
Li 6.94 Li.upf
CELL_PARAMETERS angstrom
4.408 -0.002 0.000
1.972 3.943 0.000
-2.792 -2.614 2.191
ATOMIC_POSITIONS angstrom
Fe 2.403 -0.323 1.095
Be 3.200 1.976 0.000
Be 6.371 3.935 0.000
Li 1.185 1.649 1.096


! BaAuCl2 | Alexandria | PBE | relaxed; values from VASP
! Formation energy from raw total energies   -1169 meV/atom
! E   -3.3927 eV per atom
! Energy above the most stable polymorph in this dataset   0.163 eV/atom
! Size of the total moment   0.00 μB per cell
! Density   5.15 Mg/m³
&SYSTEM
  ibrav = 0, nat = 8, ntyp = 3
/
ATOMIC_SPECIES
Au 196.97 Au.upf
Cl 35.45 Cl.upf
Ba 137.33 Ba.upf
CELL_PARAMETERS angstrom
5.312 0.000 0.000
0.000 5.312 0.000
2.656 2.656 9.254
ATOMIC_POSITIONS angstrom
Au 0.000 0.000 0.000
Au 5.312 2.656 4.627
Cl 6.640 6.815 6.941
Cl 4.159 1.328 2.314
Cl 3.984 3.809 6.941
Cl 1.153 3.984 2.314
Ba 2.656 2.656 0.000
Ba 2.656 5.312 4.627


! Ti2CrNi2 | Alexandria | PBE | relaxed; values from VASP
! Formation energy   -27 meV per atom
! E   -7.4222 eV per atom
! Energy above the most stable polymorph in this dataset   0.042 eV/atom
! Size of the total moment   0.00 μB per cell
! Density   6.50 Mg/m³
&SYSTEM
  ibrav = 0, nat = 10, ntyp = 3
/
ATOMIC_SPECIES
Ti 47.87 Ti.upf
Cr 52.00 Cr.upf
Ni 58.69 Ni.upf
CELL_PARAMETERS angstrom
-3.907 -4.467 3.507
-1.387 -3.377 -5.847
2.278 -1.662 0.420
ATOMIC_POSITIONS angstrom
Ti -1.109 -1.868 -1.383
Ti -2.469 -4.319 -3.708
Ti -4.186 -5.976 -0.957
Ti -2.825 -3.525 1.368
Cr -2.647 -3.922 -1.170
Cr 0.000 0.000 0.000
Ni -2.752 -5.935 1.108
Ni -0.265 -3.572 -3.027
Ni -0.477 -2.919 0.709
Ni -2.540 -6.588 -2.629


! Cr2FeHg | Alexandria | PBE | relaxed; values from VASP
! Formation energy   356 meV per atom
! E   -6.6472 eV per atom
! Size of the total moment   3.08 μB per cell
! Density   10.30 Mg/m³
&SYSTEM
  ibrav = 0, nat = 4, ntyp = 3
/
ATOMIC_SPECIES
Cr 52.00 Cr.upf
Hg 200.59 Hg.upf
Fe 55.84 Fe.upf
CELL_PARAMETERS angstrom
2.923 0.000 0.000
0.000 2.923 0.000
0.000 0.000 6.796
ATOMIC_POSITIONS angstrom
Cr 1.462 1.462 1.679
Cr 0.000 0.000 0.354
Hg 1.462 1.462 5.058
Fe 0.000 0.000 3.103


! KMgMn2Cl8 | Alexandria | PBE | relaxed; values from VASP
! Formation energy from raw total energies   -1324 meV/atom
! E   -4.3081 eV per atom
! Size of the total moment   9.00 μB per cell
! Density   2.29 Mg/m³
&SYSTEM
  ibrav = 0, nat = 12, ntyp = 4
/
ATOMIC_SPECIES
K 39.10 K.upf
Cl 35.45 Cl.upf
Mn 54.94 Mn.upf
Mg 24.30 Mg.upf
CELL_PARAMETERS angstrom
-6.131 -0.828 2.150
1.558 -1.611 -6.154
2.057 -8.264 2.685
ATOMIC_POSITIONS angstrom
K 0.000 0.000 0.000
Cl -4.368 -4.678 -1.204
Cl -1.775 -7.206 -0.973
Cl 1.033 -7.389 -3.687
Cl -3.549 -3.314 2.367
Cl -3.519 -1.286 -0.554
Cl -0.741 -3.497 -0.347
Cl 1.852 -6.025 -0.116
Cl 1.003 -9.418 -0.766
Mn -3.008 -3.339 0.113
Mn 0.492 -7.364 -1.432
Mg 1.028 -4.132 1.342


! SrNp4UN8 | Alexandria | PBE | relaxed; values from VASP
! Formation energy from raw total energies   -965 meV/atom
! E   -10.3461 eV per atom
! Size of the total moment   12.00 μB per cell
! Density   10.08 Mg/m³
&SYSTEM
  ibrav = 0, nat = 14, ntyp = 4
/
ATOMIC_SPECIES
N 14.01 N.upf
Np 237.00 Np.upf
Sr 87.62 Sr.upf
U 238.03 U.upf
CELL_PARAMETERS angstrom
-1.305 6.732 0.045
-4.979 2.500 3.997
1.593 3.764 5.512
ATOMIC_POSITIONS angstrom
N -3.682 9.717 6.981
N -1.084 3.266 2.488
N -0.488 5.055 4.959
N -3.494 4.459 4.622
N -1.161 8.529 4.982
N -3.057 6.345 7.022
N -1.582 6.661 2.566
N -4.173 7.962 4.646
Np -1.697 3.132 4.748
Np 0.791 1.882 2.750
Np -3.668 6.252 3.284
Np 0.139 5.246 2.773
Sr -6.279 9.233 4.049
U -1.057 6.738 6.232